Entry 1:
A plane-wave DFT calculation with GGA-PBE was carried out for Mg4Cu3Au after structural relaxation.

**V**: 16.248 Å³/atom
**Magnetic moment**: 0.00 μB per formula unit
**Formation energy**: -0.230 eV per atom

a = 4.482 Å, b = 6.471 Å, c = 8.963 Å
α = 90.00°, β = 90.00°, γ = 90.00°
Fractional positions:
Mg: 0.500 0.756 0.000
Mg: 0.500 0.756 0.500
Mg: 0.500 0.244 0.000
Mg: 0.500 0.244 0.500
Mg: 0.000 0.756 0.750
Mg: 0.000 0.756 0.250
Mg: 0.000 0.244 0.250
Mg: 0.000 0.244 0.750
Au: 0.000 0.500 0.000
Au: 0.000 0.500 0.500
Cu: 0.000 0.000 0.000
Cu: 0.000 0.000 0.500
Cu: 0.500 0.000 0.750
Cu: 0.500 0.000 0.250
Cu: 0.500 0.500 0.750
Cu: 0.500 0.500 0.250

=====

Entry 2:
A plane-wave DFT calculation with GGA-PBE was carried out for LiHg2Cl after structural relaxation.

**V**: 29.324 Å³/atom
**Formation energy from raw total energies**: -3.30 eV/f.u.
**Magnetic moment**: 0.00 μB per formula unit
**Polymorph energy (0 for the lowest one)**: 7 meV per atom

a = 3.464 Å, b = 3.464 Å, c = 9.776 Å
α = 90.00°, β = 90.00°, γ = 90.00°
Fractional positions:
Li: 0.000 0.000 0.641
Hg: 0.000 0.000 0.981
Hg: 0.500 0.500 0.244
Cl: 0.500 0.500 0.634

=====

Entry 3:
A plane-wave DFT calculation with GGA-PBE was carried out for LaRe2Mo after structural relaxation.

**V**: 20.380 Å³/atom
**Magnetic moment**: 0.00 μB per formula unit
**Formation energy**: 0.496 eV per atom
**Polymorph energy (0 for the lowest one)**: 131 meV per atom

a = 5.110 Å, b = 5.110 Å, c = 5.554 Å
α = 74.47°, β = 74.47°, γ = 35.85°
Fractional positions:
La: 0.508 0.508 0.499
Mo: 0.716 0.716 0.835
Re: 0.997 0.997 0.013
Re: 0.280 0.280 0.153

=====

Entry 4:
A plane-wave DFT calculation with GGA-PBE was carried out for SrCdPb2Se4 after structural relaxation.

**V**: 28.801 Å³/atom
**Formation energy from raw total energies**: -7.10 eV/f.u.
**Magnetic moment**: 0.00 μB per formula unit

a = 8.675 Å, b = 8.675 Å, c = 8.649 Å
α = 119.90°, β = 119.90°, γ = 90.21°
Fractional positions:
Sr: 0.000 0.500 0.000
Sr: 0.000 0.500 0.500
Cd: 0.500 0.500 0.500
Cd: 0.000 0.000 0.000
Pb: 0.500 0.000 0.000
Pb: 0.500 0.000 0.500
Pb: 0.000 0.000 0.500
Pb: 0.500 0.500 0.000
Se: 0.244 0.756 0.000
Se: 0.744 0.256 0.500
Se: 0.256 0.744 0.500
Se: 0.756 0.244 0.000
Se: 0.749 0.751 0.983
Se: 0.749 0.751 0.517
Se: 0.251 0.249 0.483
Se: 0.251 0.249 0.017

=====

Entry 5:
A plane-wave DFT calculation with GGA-PBE was carried out for Ba2TaAlCu after structural relaxation.

**V**: 36.015 Å³/atom
**Magnetic moment**: 0.00 μB per formula unit
**Formation energy**: 1.039 eV per atom

a = 6.141 Å, b = 4.775 Å, c = 6.141 Å
α = 90.00°, β = 90.00°, γ = 90.00°
Fractional positions:
Al: 0.500 0.500 0.500
Ba: 0.000 0.000 0.500
Ba: 0.500 0.000 0.000
Cu: 0.000 0.500 0.000
Ta: 0.000 0.000 0.000

=====

Entry 6:
A plane-wave DFT calculation with GGA-PBE was carried out for Tb2TmFe9 after structural relaxation.

**V**: 15.100 Å³/atom
**Magnetic moment**: 17.45 μB per formula unit
**Formation energy**: -0.069 eV per atom

a = 5.082 Å, b = 5.082 Å, c = 8.618 Å
α = 72.85°, β = 72.85°, γ = 60.00°
Fractional positions:
Tb: 0.858 0.858 0.425
Tb: 0.142 0.142 0.575
Tm: 0.000 0.000 0.000
Fe: 0.667 0.667 0.999
Fe: 0.333 0.333 0.001
Fe: 0.500 0.500 0.500
Fe: 0.420 0.420 0.242
Fe: 0.919 0.420 0.242
Fe: 0.420 0.919 0.242
Fe: 0.580 0.580 0.758
Fe: 0.580 0.081 0.758
Fe: 0.081 0.580 0.758

=====

Entry 7:
A plane-wave DFT calculation with GGA-PBE was carried out for Ni2AgRh after structural relaxation.

**V**: 13.589 Å³/atom
**Magnetic moment**: 2.21 μB per formula unit
**Formation energy**: 0.266 eV per atom

a = 3.889 Å, b = 3.889 Å, c = 3.594 Å
α = 90.00°, β = 90.00°, γ = 90.00°
Fractional positions:
Ag: 0.000 0.500 0.500
Ni: 0.000 0.000 0.000
Ni: 0.500 0.500 0.000
Rh: 0.500 0.000 0.500

=====

Entry 8:
A plane-wave DFT calculation with GGA-PBE was carried out for Ho2ErPuP4 after structural relaxation.

**V**: 22.292 Å³/atom
**Magnetic moment**: 4.88 μB per formula unit
**Formation energy**: -1.489 eV per atom

a = 3.989 Å, b = 6.885 Å, c = 6.887 Å
α = 109.49°, β = 90.00°, γ = 90.00°
Fractional positions:
Ho: 0.500 0.000 0.500
Ho: 0.000 0.500 0.500
Er: 0.500 0.500 0.000
Pu: 0.000 0.000 0.000
P: 0.500 0.248 0.247
P: 0.500 0.752 0.753
P: 0.000 0.250 0.752
P: 0.000 0.750 0.248

=====

- Which formula does entry 1 have?
  Mg4Cu3Au

=====

- Among the records above, which one has the highest magnetic moment?
  Tb2TmFe9

=====

Please write out number 1 again, unchanged.
A plane-wave DFT calculation with GGA-PBE was carried out for Mg4Cu3Au after structural relaxation.

**V**: 16.248 Å³/atom
**Magnetic moment**: 0.00 μB per formula unit
**Formation energy**: -0.230 eV per atom

a = 4.482 Å, b = 6.471 Å, c = 8.963 Å
α = 90.00°, β = 90.00°, γ = 90.00°
Fractional positions:
Mg: 0.500 0.756 0.000
Mg: 0.500 0.756 0.500
Mg: 0.500 0.244 0.000
Mg: 0.500 0.244 0.500
Mg: 0.000 0.756 0.750
Mg: 0.000 0.756 0.250
Mg: 0.000 0.244 0.250
Mg: 0.000 0.244 0.750
Au: 0.000 0.500 0.000
Au: 0.000 0.500 0.500
Cu: 0.000 0.000 0.000
Cu: 0.000 0.000 0.500
Cu: 0.500 0.000 0.750
Cu: 0.500 0.000 0.250
Cu: 0.500 0.500 0.750
Cu: 0.500 0.500 0.250